[1]
FeGe3Os | the Alexandria database | PBE | relaxed; size of the total moment = 2.69 Bohr magnetons per cell; VASP energy = -5.84 eV/atom; density of states at the Fermi level = 4.10 states/eV/f.u.
1.0
4.788 0.000 0.000
0.000 4.788 0.000
0.000 0.000 4.788
Fe Os Ge
1 1 3
direct
0.500 0.500 0.500
0.000 0.000 0.000
0.500 0.000 0.000
0.000 0.500 0.000
0.000 0.000 0.500

[2]
Fe2Ge2Os | the Alexandria database | PBE | relaxed; size of the total moment = 1.19 Bohr magnetons per cell; VASP energy = -7.28 eV/atom; density of states at the Fermi level = 5.77 states/eV/f.u.
1.0
6.840 0.000 0.000
0.000 6.840 0.000
0.000 0.000 2.719
Ge Fe Os
4 4 2
direct
0.354 0.854 0.000
0.854 0.646 0.000
0.646 0.146 0.000
0.146 0.354 0.000
0.846 0.346 0.500
0.154 0.654 0.500
0.654 0.846 0.500
0.346 0.154 0.500
0.500 0.500 0.000
0.000 0.000 0.000

Going through the records in order, we get calculated formation energy values of 0.868 0.198 eV per atom.